First-principles (PBE-GGA) data for a relaxed ZnP2Au crystal, as listed in Alexandria.

abc: 5.118 5.118 7.263
angles: 69.37 69.37 90.00
Sites, in units of the cell vectors:
1 P 0.622 0.125 0.250
2 P 0.128 0.625 0.250
3 P 0.375 0.378 0.750
4 P 0.875 0.872 0.750
5 Zn 0.500 0.500 0.000
6 Zn 0.250 0.750 0.500
7 Au 0.000 0.000 0.000
8 Au 0.750 0.250 0.500

Calculated values
* ΔH_f (0 K): 18 kJ per mole of atoms